(1)
Entry from OQMD via LeMat-Bulk: a relaxed structure of KZrPdSe3 (PBE).

CIF file:
```
data_KZrPdSe3
_symmetry_space_group_name_H-M 'P 1 21/m 1'
_symmetry_Int_Tables_number 11
_symmetry_space_group_name_Hall '-P 2yb'
_cell_length_a 8.522
_cell_length_b 3.898
_cell_length_c 10.079
_cell_angle_alpha 90.00
_cell_angle_beta 111.52
_cell_angle_gamma 90.00
loop_
_atom_site_label
_atom_site_type_symbol
_atom_site_fract_x
_atom_site_fract_y
_atom_site_fract_z
_atom_site_occupancy
K1 K 0.242 0.250 0.271 1
Zr1 Zr 0.306 0.750 0.835 1
Pd1 Pd 0.095 0.250 0.597 1
Se1 Se 0.099 0.250 0.858 1
Se2 Se 0.258 0.750 0.558 1
Se3 Se 0.451 0.750 0.133 1
```

Results
magnetization	0.0	μB/cell
raw total energy	-63.8	eV/cell
mass density	5.1	g/cm3

=====

(2)
Entry from OQMD via LeMat-Bulk: a relaxed structure of Co2Te3 (PBE).

CIF file:
```
data_Co2Te3
_symmetry_space_group_name_H-M 'R -3 c'
_symmetry_Int_Tables_number 167
_symmetry_space_group_name_Hall '-R 3 2"c'
_cell_length_a 6.5378
_cell_length_b 6.5378
_cell_length_c 16.6889
_cell_angle_alpha 90.00
_cell_angle_beta 90.00
_cell_angle_gamma 120.00
loop_
_atom_site_label
_atom_site_type_symbol
_atom_site_fract_x
_atom_site_fract_y
_atom_site_fract_z
_atom_site_occupancy
Co1 Co 0.0000 0.0000 0.1498 1
Te1 Te 0.0000 0.3080 0.2500 1
```

Results
magnetization	0.1	μB/cell
raw total energy	-145.8	eV/cell
mass density	8.1	g/cm3

=====

(3)
Entry from OQMD via LeMat-Bulk: a relaxed structure of SrCdFeTe3 (PBE).

CIF file:
```
data_SrCdFeTe3
_symmetry_space_group_name_H-M 'C m c m'
_symmetry_Int_Tables_number 63
_symmetry_space_group_name_Hall '-C 2c 2'
_cell_length_a 4.383
_cell_length_b 14.204
_cell_length_c 11.459
_cell_angle_alpha 90.00
_cell_angle_beta 90.00
_cell_angle_gamma 90.00
loop_
_atom_site_label
_atom_site_type_symbol
_atom_site_fract_x
_atom_site_fract_y
_atom_site_fract_z
_atom_site_occupancy
Sr1 Sr 0.000 0.249 0.250 1
Cd1 Cd 0.000 0.500 0.000 1
Fe1 Fe 0.000 0.039 0.750 1
Te1 Te 0.000 0.143 0.561 1
Te2 Te 0.000 0.430 0.750 1
```

Results
magnetization	16.0	μB/cell
raw total energy	-94.0	eV/cell
mass density	5.9	g/cm3

=====

(4)
Entry from OQMD via LeMat-Bulk: a relaxed structure of ZrScAl2 (PBE).

CIF file:
```
data_ZrScAl2
_symmetry_space_group_name_H-M 'F -4 3 m'
_symmetry_Int_Tables_number 216
_symmetry_space_group_name_Hall 'F -4 2 3'
_cell_length_a 6.752
_cell_length_b 6.752
_cell_length_c 6.752
_cell_angle_alpha 90.00
_cell_angle_beta 90.00
_cell_angle_gamma 90.00
loop_
_atom_site_label
_atom_site_type_symbol
_atom_site_fract_x
_atom_site_fract_y
_atom_site_fract_z
_atom_site_occupancy
Zr1 Zr 0.000 0.000 0.000 1
Sc1 Sc 0.250 0.250 0.750 1
Al1 Al 0.000 0.000 0.500 1
Al2 Al 0.250 0.250 0.250 1
```

Results
magnetization	0.0	μB/cell
raw total energy	-89.8	eV/cell
mass density	4.1	g/cm3

=====

(5)
Entry from OQMD via LeMat-Bulk: a relaxed structure of MgScZnAs (PBE).

CIF file:
```
data_MgScZnAs
_symmetry_space_group_name_H-M 'F -4 3 m'
_symmetry_Int_Tables_number 216
_symmetry_space_group_name_Hall 'F -4 2 3'
_cell_length_a 6.714
_cell_length_b 6.714
_cell_length_c 6.714
_cell_angle_alpha 90.00
_cell_angle_beta 90.00
_cell_angle_gamma 90.00
loop_
_atom_site_label
_atom_site_type_symbol
_atom_site_fract_x
_atom_site_fract_y
_atom_site_fract_z
_atom_site_occupancy
Mg1 Mg 0.000 0.000 0.000 1
Sc1 Sc 0.000 0.000 0.500 1
Zn1 Zn 0.250 0.250 0.750 1
As1 As 0.250 0.250 0.250 1
```

Results
magnetization	0.0	μB/cell
raw total energy	-60.5	eV/cell
mass density	4.6	g/cm3

=====

(6)
Entry from OQMD via LeMat-Bulk: a relaxed structure of LuReNi2 (PBE).

CIF file:
```
data_LuReNi2
_symmetry_space_group_name_H-M 'F -4 3 m'
_symmetry_Int_Tables_number 216
_symmetry_space_group_name_Hall 'F -4 2 3'
_cell_length_a 6.209
_cell_length_b 6.209
_cell_length_c 6.209
_cell_angle_alpha 90.00
_cell_angle_beta 90.00
_cell_angle_gamma 90.00
loop_
_atom_site_label
_atom_site_type_symbol
_atom_site_fract_x
_atom_site_fract_y
_atom_site_fract_z
_atom_site_occupancy
Lu1 Lu 0.000 0.000 0.000 1
Re1 Re 0.250 0.250 0.750 1
Ni1 Ni 0.000 0.000 0.500 1
Ni2 Ni 0.250 0.250 0.250 1
```

Results
magnetization	8.0	μB/cell
mass density	13.3	g/cm3
formation energy from the elements	1.16	eV/f.u.

=====

(7)
Entry from OQMD via LeMat-Bulk: a relaxed structure of PrSmBC2 (PBE).

CIF file:
```
data_PrSmBC2
_symmetry_space_group_name_H-M 'C 1 m 1'
_symmetry_Int_Tables_number 8
_symmetry_space_group_name_Hall 'C -2y'
_cell_length_a 5.383
_cell_length_b 5.382
_cell_length_c 6.116
_cell_angle_alpha 90.00
_cell_angle_beta 115.14
_cell_angle_gamma 90.00
loop_
_atom_site_label
_atom_site_type_symbol
_atom_site_fract_x
_atom_site_fract_y
_atom_site_fract_z
_atom_site_occupancy
Pr1 Pr 0.000 0.000 0.000 1
Sm1 Sm 0.298 0.000 0.583 1
B1 B 0.145 0.500 0.285 1
C1 C 0.009 0.500 0.017 1
C2 C 0.283 0.500 0.554 1
```

Results
magnetization	0.0	μB/cell
raw total energy	-72.3	eV/cell
mass density	6.8	g/cm3

=====

(8)
Entry from OQMD via LeMat-Bulk: a relaxed structure of Nb2Bi3Mo4C3 (PBE).

CIF file:
```
data_Nb2Bi3Mo4C3
_symmetry_space_group_name_H-M 'C 1 2/c 1'
_symmetry_Int_Tables_number 15
_symmetry_space_group_name_Hall '-C 2yc'
_cell_length_a 9.999
_cell_length_b 5.765
_cell_length_c 13.913
_cell_angle_alpha 90.00
_cell_angle_beta 103.20
_cell_angle_gamma 90.00
loop_
_atom_site_label
_atom_site_type_symbol
_atom_site_fract_x
_atom_site_fract_y
_atom_site_fract_z
_atom_site_occupancy
Nb1 Nb 0.055 0.083 0.418 1
Bi1 Bi 0.000 0.427 0.250 1
Bi2 Bi 0.171 0.088 0.749 1
Mo1 Mo 0.106 0.413 0.576 1
Mo2 Mo 0.228 0.419 0.925 1
C1 C 0.086 0.257 0.000 1
C2 C 0.250 0.250 0.500 1
```

Results
magnetization	0.1	μB/cell
raw total energy	-408.4	eV/cell
mass density	10.5	g/cm3

=====

(9)
Entry from OQMD via LeMat-Bulk: a relaxed structure of LaTlHgSe3 (PBE).

CIF file:
```
data_LaTlHgSe3
_symmetry_space_group_name_H-M 'C m c m'
_symmetry_Int_Tables_number 63
_symmetry_space_group_name_Hall '-C 2c 2'
_cell_length_a 4.386
_cell_length_b 14.488
_cell_length_c 11.422
_cell_angle_alpha 90.00
_cell_angle_beta 90.00
_cell_angle_gamma 90.00
loop_
_atom_site_label
_atom_site_type_symbol
_atom_site_fract_x
_atom_site_fract_y
_atom_site_fract_z
_atom_site_occupancy
La1 La 0.000 0.000 0.000 1
Tl1 Tl 0.000 0.248 0.250 1
Hg1 Hg 0.000 0.461 0.750 1
Se1 Se 0.000 0.079 0.750 1
Se2 Se 0.000 0.362 0.555 1
```

Results
magnetization	0.0	μB/cell
raw total energy	-96.4	eV/cell
mass density	7.1	g/cm3

=====

(10)
Entry from OQMD via LeMat-Bulk: a relaxed structure of Hf4Ta2Cd3N3 (PBE).

CIF file:
```
data_Hf4Ta2Cd3N3
_symmetry_space_group_name_H-M 'C 1 2/c 1'
_symmetry_Int_Tables_number 15
_symmetry_space_group_name_Hall '-C 2yc'
_cell_length_a 9.593
_cell_length_b 5.553
_cell_length_c 14.969
_cell_angle_alpha 90.00
_cell_angle_beta 102.23
_cell_angle_gamma 90.00
loop_
_atom_site_label
_atom_site_type_symbol
_atom_site_fract_x
_atom_site_fract_y
_atom_site_fract_z
_atom_site_occupancy
Hf1 Hf 0.112 0.082 0.086 1
Hf2 Hf 0.221 0.084 0.413 1
Ta1 Ta 0.058 0.417 0.924 1
Cd1 Cd 0.000 0.105 0.750 1
Cd2 Cd 0.156 0.426 0.250 1
N1 N 0.085 0.245 0.500 1
N2 N 0.250 0.250 0.000 1
```

Results
magnetization	0.0	μB/cell
raw total energy	-402.8	eV/cell
mass density	12.4	g/cm3

=====

(11)
Entry from OQMD via LeMat-Bulk: a relaxed structure of BeZnCuRe (PBE).

CIF file:
```
data_BeZnCuRe
_symmetry_space_group_name_H-M 'F -4 3 m'
_symmetry_Int_Tables_number 216
_symmetry_space_group_name_Hall 'F -4 2 3'
_cell_length_a 5.814
_cell_length_b 5.814
_cell_length_c 5.814
_cell_angle_alpha 90.00
_cell_angle_beta 90.00
_cell_angle_gamma 90.00
loop_
_atom_site_label
_atom_site_type_symbol
_atom_site_fract_x
_atom_site_fract_y
_atom_site_fract_z
_atom_site_occupancy
Be1 Be 0.000 0.000 0.000 1
Zn1 Zn 0.000 0.000 0.500 1
Cu1 Cu 0.250 0.250 0.750 1
Re1 Re 0.250 0.250 0.250 1
```

Results
magnetization	2.9	μB/cell
raw total energy	-78.5	eV/cell
mass density	11.0	g/cm3

=====

(12)
Entry from OQMD via LeMat-Bulk: a relaxed structure of Ag15Sn (PBE).

CIF file:
```
data_Ag15Sn
_symmetry_space_group_name_H-M 'P 1 21/m 1'
_symmetry_Int_Tables_number 11
_symmetry_space_group_name_Hall '-P 2yb'
_cell_length_a 5.829
_cell_length_b 4.052
_cell_length_c 33.655
_cell_angle_alpha 90.00
_cell_angle_beta 90.11
_cell_angle_gamma 90.00
loop_
_atom_site_label
_atom_site_type_symbol
_atom_site_fract_x
_atom_site_fract_y
_atom_site_fract_z
_atom_site_occupancy
Ag1 Ag 0.120 0.250 0.169 1
Ag2 Ag 0.122 0.250 0.257 1
Ag3 Ag 0.123 0.250 0.346 1
Ag4 Ag 0.125 0.250 0.434 1
Ag5 Ag 0.125 0.250 0.522 1
Ag6 Ag 0.126 0.250 0.698 1
Ag7 Ag 0.127 0.250 0.610 1
Ag8 Ag 0.131 0.250 0.788 1
Ag9 Ag 0.371 0.750 0.302 1
Ag10 Ag 0.372 0.750 0.212 1
Ag11 Ag 0.374 0.750 0.478 1
Ag12 Ag 0.375 0.750 0.390 1
Ag13 Ag 0.375 0.750 0.566 1
Ag14 Ag 0.377 0.750 0.654 1
Ag15 Ag 0.378 0.750 0.742 1
Sn1 Sn 0.380 0.750 0.836 1
```

Results
raw total energy	-91.1	eV/cell
mass density	7.3	g/cm3

=====

> The lowest mass density belongs to which entry?

ZrScAl2

=====

> Which value of mass density does entry 2 give?

8.1 g/cm3

=====

What did the sixth record say?
Entry from OQMD via LeMat-Bulk: a relaxed structure of LuReNi2 (PBE).

CIF file:
```
data_LuReNi2
_symmetry_space_group_name_H-M 'F -4 3 m'
_symmetry_Int_Tables_number 216
_symmetry_space_group_name_Hall 'F -4 2 3'
_cell_length_a 6.209
_cell_length_b 6.209
_cell_length_c 6.209
_cell_angle_alpha 90.00
_cell_angle_beta 90.00
_cell_angle_gamma 90.00
loop_
_atom_site_label
_atom_site_type_symbol
_atom_site_fract_x
_atom_site_fract_y
_atom_site_fract_z
_atom_site_occupancy
Lu1 Lu 0.000 0.000 0.000 1
Re1 Re 0.250 0.250 0.750 1
Ni1 Ni 0.000 0.000 0.500 1
Ni2 Ni 0.250 0.250 0.250 1
```

Results
magnetization	8.0	μB/cell
mass density	13.3	g/cm3
formation energy from the elements	1.16	eV/f.u.